(1)
Density functional theory data (PBE) for a geometry-optimized BaMg2Fe structure.

Values from the calculation:
symmetry: No. 141
D(E_F): 1.93 states/eV per atom
energy of formation from the pure elements: 0.64 eV/atom

Cell: 9.689 9.689 9.689 Å, 147.72 147.72 46.30°
Positions (direct):
Ba1 0.375 0.625 0.750
Ba2 0.625 0.375 0.250
Mg1 0.000 0.000 0.000
Mg2 0.000 0.000 0.500
Mg3 0.000 0.500 0.000
Mg4 0.500 0.000 0.500
Fe1 0.125 0.875 0.250
Fe2 0.875 0.125 0.750

=====

(2)
Density functional theory data (PBE) for a geometry-optimized LiAc2Tl2Pd4 structure.

Values from the calculation:
symmetry: No. 139
D(E_F): 0.39 states/eV per atom
energy of formation from the pure elements: -0.48 eV/atom

Cell: 6.528 6.528 6.528 Å, 115.33 115.33 98.30°
Positions (direct):
Li1 0.000 0.000 0.000
Ac1 0.250 0.750 0.500
Ac2 0.750 0.250 0.500
Tl1 0.307 0.307 0.000
Tl2 0.693 0.693 0.000
Pd1 0.258 0.258 0.517
Pd2 0.258 0.742 0.000
Pd3 0.742 0.258 0.000
Pd4 0.742 0.742 0.483

=====

(3)
Density functional theory data (PBE) for a geometry-optimized La6BiS4 structure.

Values from the calculation:
energy: -6.29 eV per atom
symmetry: No. 63
D(E_F): 0.74 states/eV per atom

Cell: 7.192 7.192 21.342 Å, 90.00 90.00 145.42°
Positions (direct):
La1 0.000 0.000 0.000
La2 0.000 0.000 0.500
La3 0.159 0.841 0.750
La4 0.270 0.730 0.085
La5 0.270 0.730 0.415
La6 0.462 0.538 0.655
La7 0.462 0.538 0.845
La8 0.538 0.462 0.155
La9 0.538 0.462 0.345
La10 0.730 0.270 0.585
La11 0.730 0.270 0.915
La12 0.841 0.159 0.250
Bi1 0.157 0.843 0.250
Bi2 0.843 0.157 0.750
S1 0.096 0.904 0.622
S2 0.096 0.904 0.878
S3 0.361 0.639 0.538
S4 0.361 0.639 0.962
S5 0.639 0.361 0.038
S6 0.639 0.361 0.462
S7 0.904 0.096 0.122
S8 0.904 0.096 0.378

=====

(4)
Density functional theory data (PBE) for a geometry-optimized Pm3Pr4Y8 structure.

Values from the calculation:
symmetry: No. 166
D(E_F): 1.59 states/eV per atom
energy of formation from the pure elements: 0.12 eV/atom

Cell: 12.636 12.636 12.636 Å, 32.47 32.47 32.47°
Positions (direct):
Pm1 0.000 0.500 0.500
Pm2 0.500 0.000 0.500
Pm3 0.500 0.500 0.000
Pr1 0.000 0.000 0.000
Pr2 0.164 0.164 0.164
Pr3 0.500 0.500 0.500
Pr4 0.836 0.836 0.836
Y1 0.250 0.250 0.749
Y2 0.250 0.749 0.250
Y3 0.251 0.750 0.750
Y4 0.255 0.255 0.255
Y5 0.745 0.745 0.745
Y6 0.749 0.250 0.250
Y7 0.750 0.251 0.750
Y8 0.750 0.750 0.251

=====

(5)
Density functional theory data (PBE) for a geometry-optimized BaAgP2 structure.

Values from the calculation:
symmetry: No. 122
D(E_F): 0.26 states/eV per atom
energy of formation from the pure elements: -0.35 eV/atom

Cell: 9.284 9.284 9.284 Å, 148.96 148.96 44.47°
Positions (direct):
Ba1 0.000 0.000 0.000
Ba2 0.750 0.250 0.500
Ag1 0.250 0.750 0.500
Ag2 0.500 0.500 0.000
P1 0.299 0.625 0.174
P2 0.375 0.549 0.674
P3 0.451 0.125 0.826
P4 0.875 0.701 0.326

=====

(6)
Density functional theory data (PBE) for a geometry-optimized LaOsW2 structure.

Values from the calculation:
symmetry: No. 99
D(E_F): 0.80 states/eV per atom
energy of formation from the pure elements: 0.39 eV/atom

Cell: 3.175 3.175 7.707 Å, 90.00 90.00 90.00°
Positions (direct):
La1 0.000 0.000 0.000
Os1 0.500 0.500 0.307
W1 0.000 0.000 0.494
W2 0.500 0.500 0.695

=====

(7)
Density functional theory data (PBE) for a geometry-optimized YTlFeCo structure.

Values from the calculation:
symmetry: No. 38
D(E_F): 0.91 states/eV per atom
energy of formation from the pure elements: 0.09 eV/atom

Cell: 3.684 5.398 5.398 Å, 45.62 90.00 90.00°
Positions (direct):
Y1 0.000 0.000 0.000
Tl1 0.500 0.706 0.706
Fe1 0.000 0.293 0.293
Co1 0.500 0.422 0.422

=====

(8)
Density functional theory data (PBE) for a geometry-optimized SmTlIn structure.

Values from the calculation:
symmetry: No. 63
D(E_F): 0.34 states/eV per atom
energy of formation from the pure elements: -0.32 eV/atom

Cell: 5.345 5.345 6.565 Å, 90.00 90.00 118.15°
Positions (direct):
Sm1 0.165 0.835 0.750
Sm2 0.835 0.165 0.250
Tl1 0.173 0.827 0.250
Tl2 0.827 0.173 0.750
In1 0.500 0.500 0.000
In2 0.500 0.500 0.500